DFT (meta-GGA SCAN) results for a crystal of CsAlIr3 relaxed with PBEsol.

abc: 4.9116 4.9116 4.9116
angles: 90.00 90.00 90.00
Positions (direct):
1 Ir 0.0000 0.0000 0.5000
2 Ir 0.5000 0.0000 0.0000
3 Ir 0.0000 0.5000 0.0000
4 Al 0.5000 0.5000 0.5000
5 Cs 0.0000 0.0000 0.0000

## Properties
Density of states at the Fermi level, states/eV/cell: 4.809
DFT formation energy, kJ/mol of formula units: 1598
Crystal system: cubic
Volume, Å³ per cell: 118
Energy relative to the lowest polymorph listed for this composition, meV/atom: 2025